HfBe2Pb2 at its PBEsol-relaxed geometry, computed with meta-GGA SCAN.

Computed properties:
- energy of formation (eV per atom) = 0.47
- Fermi-level density of states (states/eV per cell) = 2.5
- calculated volume (Å³ per cell) = 93.67

```
data_HfBe2Pb2
_chemical_formula_sum 'Hf1 Be2 Pb2'
_symmetry_space_group_name_H-M 'P 1'
_symmetry_Int_Tables_number 1
_symmetry_space_group_name_Hall 'P 1'
_cell_length_a 7.728
_cell_length_b 7.728
_cell_length_c 7.728
_cell_angle_alpha 153.20
_cell_angle_beta 153.20
_cell_angle_gamma 38.26
loop_
_atom_site_label
_atom_site_fract_x
_atom_site_fract_y
_atom_site_fract_z
Hf1 0.000 0.000 0.000
Be1 0.250 0.750 0.500
Be2 0.750 0.250 0.500
Pb1 0.378 0.378 0.000
Pb2 0.622 0.622 0.000
```